The following is a DFT calculation (PBE) of Ac2Tb2Er5 after structural relaxation.

Lattice parameters (Å, degrees): 21.882 3.592 8.275 90.00 98.88 90.00
Space group C2/m (No. 12)
Unique sites:
Ac1 0.180 0.000 0.134 x4
Tb1 0.047 0.500 0.352 x4
Er1 0.000 0.000 0.000 x2
Er2 0.091 0.000 0.717 x4
Er3 0.190 0.500 0.533 x4

DFT formation energy	213	meV per atom
mass density	8.3	g cm⁻³

=====

The following is a DFT calculation (PBE) of AcTbErTe3 after structural relaxation.

Lattice parameters (Å, degrees): 8.736 4.410 10.919 90.00 106.93 90.00
Space group P2_1/m (No. 11)
Unique sites:
Ac1 0.192 0.250 0.221 x2
Tb1 0.339 0.750 0.906 x2
Er1 0.151 0.250 0.624 x2
Te1 0.096 0.250 0.893 x2
Te2 0.222 0.750 0.462 x2
Te3 0.490 0.750 0.205 x2

uncorrected formation energy	-1.259	eV/atom
mass density	7.7	g cm⁻³

=====

Among the records above, which one has the lowest mass density? AcTbErTe3

=====

mass density of number 2 (AcTbErTe3)? 7.7 g cm⁻³